1.
DFT (PBE) results for a relaxed ScAlCoCu crystal.

Size of the total moment   0.67 μB per formula unit
Space group   No. 216
Calculated total energy   -85.18 eV per cell

Cell lengths 6.124, 6.124, 6.124 Å; angles 90.00, 90.00, 90.00 degrees
Fractional coordinates of all 16 atoms:
Sc 0.000 0.000 0.000
Sc 0.000 0.500 0.500
Sc 0.500 0.000 0.500
Sc 0.500 0.500 0.000
Al 0.250 0.250 0.750
Al 0.250 0.750 0.250
Al 0.750 0.250 0.250
Al 0.750 0.750 0.750
Co 0.250 0.250 0.250
Co 0.250 0.750 0.750
Co 0.750 0.250 0.750
Co 0.750 0.750 0.250
Cu 0.000 0.000 0.500
Cu 0.000 0.500 0.000
Cu 0.500 0.000 0.000
Cu 0.500 0.500 0.500

***

2.
DFT (PBE) results for a relaxed ScAl2CoCu4 crystal.

Size of the total moment   1.40 μB per formula unit
Space group   No. 123
Calculated total energy   -37.19 eV per cell

Cell lengths 4.229, 4.229, 5.974 Å; angles 90.00, 90.00, 90.00 degrees
Fractional coordinates of all 8 atoms:
Sc 0.000 0.000 0.000
Al 0.000 0.000 0.500
Al 0.500 0.500 0.000
Co 0.500 0.500 0.500
Cu 0.000 0.500 0.267
Cu 0.000 0.500 0.733
Cu 0.500 0.000 0.267
Cu 0.500 0.000 0.733

***

3.
DFT (PBE) results for a relaxed AlCoCuTc crystal.

Size of the total moment   2.00 μB per formula unit
Space group   No. 216
Calculated total energy   -100.65 eV per cell

Cell lengths 5.891, 5.891, 5.891 Å; angles 90.00, 90.00, 90.00 degrees
Fractional coordinates of all 16 atoms:
Al 0.000 0.000 0.000
Al 0.000 0.500 0.500
Al 0.500 0.000 0.500
Al 0.500 0.500 0.000
Co 0.000 0.000 0.500
Co 0.000 0.500 0.000
Co 0.500 0.000 0.000
Co 0.500 0.500 0.500
Cu 0.250 0.250 0.250
Cu 0.250 0.750 0.750
Cu 0.750 0.250 0.750
Cu 0.750 0.750 0.250
Tc 0.250 0.250 0.750
Tc 0.250 0.750 0.250
Tc 0.750 0.250 0.250
Tc 0.750 0.750 0.750

***

4.
DFT (PBE) results for a relaxed Y2TmAl3CoCu2 crystal.

Size of the total moment   0.00 μB per formula unit
Space group   No. 38
Calculated total energy   -47.29 eV per cell

Cell lengths 4.044, 6.912, 6.912 Å; angles 119.86, 90.00, 90.00 degrees
Fractional coordinates of all 9 atoms:
Y 0.000 0.205 0.795
Y 0.000 0.795 0.205
Tm 0.000 0.388 0.388
Al 0.500 0.023 0.023
Al 0.500 0.566 0.794
Al 0.500 0.794 0.566
Co 0.000 0.788 0.788
Cu 0.500 0.132 0.459
Cu 0.500 0.459 0.132

***

5.
DFT (PBE) results for a relaxed TmZr2Al3CoCu2 crystal.

Size of the total moment   0.03 μB per formula unit
Space group   No. 38
Calculated total energy   -51.52 eV per cell

Cell lengths 4.027, 6.602, 6.602 Å; angles 119.30, 90.00, 90.00 degrees
Fractional coordinates of all 9 atoms:
Tm 0.000 0.000 0.000
Zr 0.000 0.186 0.590
Zr 0.000 0.590 0.186
Al 0.500 0.355 0.355
Al 0.500 0.585 0.826
Al 0.500 0.826 0.585
Co 0.000 0.581 0.581
Cu 0.500 0.261 0.924
Cu 0.500 0.924 0.261

***

6.
DFT (PBE) results for a relaxed YAlCoCu crystal.

Size of the total moment   0.40 μB per formula unit
Space group   No. 216
Calculated total energy   -87.75 eV per cell

Cell lengths 6.360, 6.360, 6.360 Å; angles 90.00, 90.00, 90.00 degrees
Fractional coordinates of all 16 atoms:
Y 0.000 0.000 0.000
Y 0.000 0.500 0.500
Y 0.500 0.000 0.500
Y 0.500 0.500 0.000
Al 0.000 0.000 0.500
Al 0.000 0.500 0.000
Al 0.500 0.000 0.000
Al 0.500 0.500 0.500
Co 0.250 0.250 0.750
Co 0.250 0.750 0.250
Co 0.750 0.250 0.250
Co 0.750 0.750 0.750
Cu 0.250 0.250 0.250
Cu 0.250 0.750 0.750
Cu 0.750 0.250 0.750
Cu 0.750 0.750 0.250

***

7.
DFT (PBE) results for a relaxed Y2Al4CoCu crystal.

Size of the total moment   0.01 μB per formula unit
Space group   No. 38
Calculated total energy   -85.75 eV per cell

Cell lengths 6.939, 4.056, 10.252 Å; angles 90.00, 90.00, 90.00 degrees
Fractional coordinates of all 16 atoms:
Y 0.000 0.000 0.000
Y 0.000 0.500 0.500
Y 0.500 0.000 0.122
Y 0.500 0.500 0.622
Al 0.190 0.000 0.717
Al 0.190 0.500 0.217
Al 0.301 0.000 0.403
Al 0.301 0.500 0.903
Al 0.699 0.000 0.403
Al 0.699 0.500 0.903
Al 0.810 0.000 0.717
Al 0.810 0.500 0.217
Co 0.000 0.000 0.274
Co 0.000 0.500 0.774
Cu 0.500 0.000 0.841
Cu 0.500 0.500 0.341

***

8.
DFT (PBE) results for a relaxed YAlCoCu crystal.

Size of the total moment   1.27 μB per formula unit
Space group   No. 216
Calculated total energy   -82.93 eV per cell

Cell lengths 6.403, 6.403, 6.403 Å; angles 90.00, 90.00, 90.00 degrees
Fractional coordinates of all 16 atoms:
Y 0.000 0.000 0.000
Y 0.000 0.500 0.500
Y 0.500 0.000 0.500
Y 0.500 0.500 0.000
Al 0.250 0.250 0.250
Al 0.250 0.750 0.750
Al 0.750 0.250 0.750
Al 0.750 0.750 0.250
Co 0.250 0.250 0.750
Co 0.250 0.750 0.250
Co 0.750 0.250 0.250
Co 0.750 0.750 0.750
Cu 0.000 0.000 0.500
Cu 0.000 0.500 0.000
Cu 0.500 0.000 0.000
Cu 0.500 0.500 0.500